# HfInOF2, relaxed, DFT PBE
# N(E_F) = 2.42 states/eV per cell
# Formation energy from raw total energies = -11.72 eV/f.u.
# ΔE to the lowest computed polymorph = 0.0 meV per atom
data_HfInOF2
_cell_length_a 4.673
_cell_length_b 4.673
_cell_length_c 4.063
_cell_angle_alpha 90.00
_cell_angle_beta 90.00
_cell_angle_gamma 90.00
_symmetry_space_group_name_H-M 'P 4/m m m'
_symmetry_Int_Tables_number 123
_symmetry_space_group_name_Hall '-P 4 2'
loop_
_atom_site_label
_atom_site_fract_x
_atom_site_fract_y
_atom_site_fract_z
Hf1 0.000 0.000 0.000
In1 0.500 0.500 0.500
O1 0.000 0.000 0.500
F1 0.000 0.500 0.000